No. 1
First-principles (GGA-PBE) data for MgHgI2N after structural relaxation, as listed in Alexandria.

Cell: 6.246 6.246 4.114 Å, 90.00 90.00 90.00°
Element x y z (fractional)
1 Mg 0.000 0.000 0.000
2 Hg 0.500 0.500 0.500
3 I 0.000 0.500 0.500
4 I 0.500 0.000 0.500
5 N 0.500 0.500 0.000

SG   P4/mmm
Formation energy (no corrections)   3.50 eV/f.u.
Offset from the most stable computed form   464 meV/atom


No. 2
First-principles (GGA-PBE) data for YHRhAu2 after structural relaxation, as listed in Alexandria.

Cell: 4.455 4.455 3.961 Å, 90.00 90.00 90.00°
Element x y z (fractional)
1 Y 0.000 0.000 0.000
2 H 0.500 0.500 0.500
3 Rh 0.500 0.500 0.000
4 Au 0.000 0.500 0.500
5 Au 0.500 0.000 0.500

SG   P4/mmm
Offset from the most stable computed form   0 meV/atom